CuIr2W | GGA-PBE | relaxed

Cell lengths 4.829, 4.829, 4.829 Å; angles 133.96, 133.97, 67.15 degrees
Atoms (fractional coordinates):
Ir: 0.750 0.250 0.500
Ir: 0.000 0.000 0.000
Cu: 0.250 0.750 0.500
W: 0.500 0.500 0.000

**Total magnetic moment**: 0.00 μB per cell
**Formation energy**: -0.02 eV per atom